No. 1
DFT (PBE-GGA) results for crystalline AcLaGeAu at its relaxed geometry.

Summary:
- density of states at the Fermi level (states/eV per cell) = 6.35
- formation energy (meV per atom) = -792
- distance to the lowest polymorph of the same formula (meV per atom) = 0.0

Unit cell a=4.561 b=4.390 c=11.757 alpha=90.00 beta=90.00 gamma=90.00
Space group Amm2 (No. 38)
One atom of each set of equivalent atoms:
Ac 0.000 0.000 0.000 [2 per cell]
La 0.500 0.000 0.728 [2 per cell]
Ge 0.000 0.000 0.275 [2 per cell]
Au 0.500 0.000 0.439 [2 per cell]

---

No. 2
DFT (PBE-GGA) results for crystalline ZrRe2Si at its relaxed geometry.

Summary:
- density of states at the Fermi level (states/eV per cell) = 5.52
- E_form (uncorrected) (meV per atom) = 14

Unit cell a=3.237 b=4.793 c=8.248 alpha=90.00 beta=90.00 gamma=90.00
Space group Cmmm (No. 65)
One atom of each set of equivalent atoms:
Zr 0.000 0.000 0.000 [2 per cell]
Re 0.000 0.500 0.278 [4 per cell]
Si 0.000 0.000 0.500 [2 per cell]

---

No. 3
DFT (PBE-GGA) results for crystalline LiCdPb4 at its relaxed geometry.

Summary:
- density of states at the Fermi level (states/eV per cell) = 9.38
- formation energy (meV per atom) = -9
- distance to the lowest polymorph of the same formula (meV per atom) = 16.8

Unit cell a=7.304 b=7.304 c=12.832 alpha=90.00 beta=90.00 gamma=90.00
Space group I4/mcm (No. 140)
One atom of each set of equivalent atoms:
Li 0.000 0.000 0.000 [4 per cell]
Cd 0.000 0.000 0.250 [4 per cell]
Pb 0.160 0.340 0.133 [16 per cell]

---

No. 4
DFT (PBE-GGA) results for crystalline Li4Mg3In2 at its relaxed geometry.

Summary:
- density of states at the Fermi level (states/eV per cell) = 0.69
- formation energy (meV per atom) = -199

Unit cell a=4.8157 b=4.8157 c=8.7230 alpha=90.00 beta=90.00 gamma=120.00
Space group P-3m1 (No. 164)
One atom of each set of equivalent atoms:
Li 0.0000 0.0000 0.1708 [2 per cell]
Li 0.3333 0.6667 0.3961 [2 per cell]
Mg 0.0000 0.0000 0.5000 [1 per cell]
Mg 0.3333 0.6667 0.0714 [2 per cell]
In 0.3333 0.6667 0.7247 [2 per cell]

---

No. 5
DFT (PBE-GGA) results for crystalline LiScCdPd at its relaxed geometry.

Summary:
- density of states at the Fermi level (states/eV per cell) = 1.57
- formation energy (meV per atom) = -513

Unit cell a=3.358 b=3.358 c=6.422 alpha=90.00 beta=90.00 gamma=90.00
Space group P4mm (No. 99)
One atom of each set of equivalent atoms:
Li 0.000 0.000 0.000 [1 per cell]
Sc 0.000 0.000 0.457 [1 per cell]
Cd 0.500 0.500 0.770 [1 per cell]
Pd 0.500 0.500 0.236 [1 per cell]

---

No. 6
DFT (PBE-GGA) results for crystalline CaEuGdTm at its relaxed geometry.

Summary:
- density of states at the Fermi level (states/eV per cell) = 26.33
- formation energy (meV per atom) = 145

Unit cell a=8.265 b=8.265 c=8.265 alpha=90.00 beta=90.00 gamma=90.00
Space group F-43m (No. 216)
One atom of each set of equivalent atoms:
Ca 0.000 0.000 0.000 [4 per cell]
Eu 0.250 0.250 0.250 [4 per cell]
Gd 0.250 0.250 0.750 [4 per cell]
Tm 0.000 0.000 0.500 [4 per cell]

---

No. 7
DFT (PBE-GGA) results for crystalline SmY2Tm4 at its relaxed geometry.

Summary:
- density of states at the Fermi level (states/eV per cell) = 21.88
- formation energy (meV per atom) = 45
- distance to the lowest polymorph of the same formula (meV per atom) = 0.0

Unit cell a=16.561 b=3.500 c=8.693 alpha=90.00 beta=119.60 gamma=90.00
Space group C2/m (No. 12)
One atom of each set of equivalent atoms:
Sm 0.000 0.000 0.000 [2 per cell]
Y 0.070 0.000 0.430 [4 per cell]
Tm 0.144 0.500 0.837 [4 per cell]
Tm 0.205 0.500 0.293 [4 per cell]

---

No. 8
DFT (PBE-GGA) results for crystalline Dy6Er2Tm3 at its relaxed geometry.

Summary:
- density of states at the Fermi level (states/eV per cell) = 33.35
- formation energy (meV per atom) = 300

Unit cell a=4.673 b=4.673 c=32.864 alpha=90.00 beta=90.00 gamma=90.00
Space group I4/mmm (No. 139)
One atom of each set of equivalent atoms:
Dy 0.000 0.000 0.197 [4 per cell]
Dy 0.000 0.500 0.121 [8 per cell]
Er 0.000 0.000 0.046 [4 per cell]
Tm 0.000 0.000 0.301 [4 per cell]
Tm 0.000 0.000 0.500 [2 per cell]

---

No. 9
DFT (PBE-GGA) results for crystalline K3C at its relaxed geometry.

Summary:
- density of states at the Fermi level (states/eV per cell) = 9.07
- formation energy (meV per atom) = 1419
- distance to the lowest polymorph of the same formula (meV per atom) = 371.1

Unit cell a=9.6495 b=9.6495 c=5.3780 alpha=90.00 beta=90.00 gamma=120.00
Space group R-3m (No. 166, hexagonal axes)
One atom of each set of equivalent atoms:
K 0.0000 0.5000 0.0000 [9 per cell]
C 0.0000 0.0000 0.0000 [3 per cell]

---

No. 10
DFT (PBE-GGA) results for crystalline AcPuS2 at its relaxed geometry.

Summary:
- density of states at the Fermi level (states/eV per cell) = 14.61
- E_form (uncorrected) (meV per atom) = -1841
- distance to the lowest polymorph of the same formula (meV per atom) = 26.5

Unit cell a=4.0922 b=4.0922 c=13.8969 alpha=90.00 beta=90.00 gamma=120.00
Space group P6_3/mmc (No. 194)
One atom of each set of equivalent atoms:
Ac 0.3333 0.6667 0.2500 [2 per cell]
Pu 0.0000 0.0000 0.0000 [2 per cell]
S 0.3333 0.6667 0.6108 [4 per cell]

---

No. 11
DFT (PBE-GGA) results for crystalline MgCd2In at its relaxed geometry.

Summary:
- density of states at the Fermi level (states/eV per cell) = 1.38
- formation energy (meV per atom) = -15

Unit cell a=3.318 b=5.539 c=5.156 alpha=90.00 beta=92.19 gamma=90.00
Space group P2/m (No. 10)
One atom of each set of equivalent atoms:
Mg 0.000 0.000 0.000 [1 per cell]
Cd 0.257 0.500 0.245 [2 per cell]
In 0.500 0.000 0.500 [1 per cell]

---

No. 12
DFT (PBE-GGA) results for crystalline YCd3B at its relaxed geometry.

Summary:
- density of states at the Fermi level (states/eV per cell) = 5.99
- formation energy (meV per atom) = 1661
- distance to the lowest polymorph of the same formula (meV per atom) = 1292.8

Unit cell a=5.950 b=5.950 c=5.950 alpha=90.00 beta=90.00 gamma=90.00
Space group Pm-3m (No. 221)
One atom of each set of equivalent atoms:
Y 0.000 0.000 0.000 [1 per cell]
Cd 0.000 0.000 0.500 [3 per cell]
B 0.500 0.500 0.500 [1 per cell]

---

No. 13
DFT (PBE-GGA) results for crystalline FePC3 at its relaxed geometry.

Summary:
- density of states at the Fermi level (states/eV per cell) = 3.82
- formation energy (meV per atom) = 721
- distance to the lowest polymorph of the same formula (meV per atom) = 398.7

Unit cell a=7.259 b=2.828 c=5.172 alpha=90.00 beta=112.31 gamma=90.00
Space group Cm (No. 8)
One atom of each set of equivalent atoms:
Fe 0.000 0.000 0.000 [2 per cell]
P 0.174 0.500 0.761 [2 per cell]
C 0.028 0.000 0.598 [2 per cell]
C 0.203 0.500 0.145 [2 per cell]
C 0.408 0.500 0.306 [2 per cell]

---

No. 14
DFT (PBE-GGA) results for crystalline Ce5PmPb4 at its relaxed geometry.

Summary:
- density of states at the Fermi level (states/eV per cell) = 52.04
- formation energy (meV per atom) = -326

Unit cell a=16.462 b=4.792 c=8.312 alpha=90.00 beta=108.78 gamma=90.00
Space group C2/m (No. 12)
One atom of each set of equivalent atoms:
Ce 0.000 0.000 0.000 [2 per cell]
Ce 0.126 0.500 0.952 [4 per cell]
Ce 0.229 0.000 0.382 [4 per cell]
Pm 0.000 0.000 0.500 [2 per cell]
Pb 0.074 0.500 0.306 [4 per cell]
Pb 0.185 0.000 0.770 [4 per cell]

---

No. 15
DFT (PBE-GGA) results for crystalline PtBrCl4 at its relaxed geometry.

Summary:
- density of states at the Fermi level (states/eV per cell) = 45.98
- E_form (uncorrected) (meV per atom) = 1147
- distance to the lowest polymorph of the same formula (meV per atom) = 1328.3

Unit cell a=8.095 b=8.095 c=8.095 alpha=90.00 beta=90.00 gamma=90.00
Space group F-43m (No. 216)
One atom of each set of equivalent atoms:
Pt 0.000 0.000 0.000 [4 per cell]
Br 0.250 0.250 0.750 [4 per cell]
Cl 0.126 0.126 0.374 [16 per cell]

---

No. 16
DFT (PBE-GGA) results for crystalline SrRu2N at its relaxed geometry.

Summary:
- density of states at the Fermi level (states/eV per cell) = 9.30
- E_form (uncorrected) (meV per atom) = 184

Unit cell a=6.152 b=6.152 c=8.354 alpha=90.00 beta=90.00 gamma=90.00
Space group I-42d (No. 122)
One atom of each set of equivalent atoms:
Sr 0.000 0.000 0.000 [4 per cell]
Ru 0.060 0.750 0.625 [8 per cell]
N 0.000 0.000 0.500 [4 per cell]

---

No. 17
DFT (PBE-GGA) results for crystalline WBr2 at its relaxed geometry.

Summary:
- density of states at the Fermi level (states/eV per cell) = 10.20
- E_form (uncorrected) (meV per atom) = 276
- distance to the lowest polymorph of the same formula (meV per atom) = 742.2

Unit cell a=3.257 b=17.060 c=5.114 alpha=90.00 beta=90.00 gamma=90.00
Space group Cmcm (No. 63)
One atom of each set of equivalent atoms:
W 0.000 0.222 0.250 [4 per cell]
Br 0.000 0.162 0.750 [4 per cell]
Br 0.000 0.404 0.750 [4 per cell]

---

No. 18
DFT (PBE-GGA) results for crystalline PmMnAg2Se4 at its relaxed geometry.

Summary:
- density of states at the Fermi level (states/eV per cell) = 9.09
- E_form (uncorrected) (meV per atom) = -626

Unit cell a=4.070 b=14.081 c=13.179 alpha=90.00 beta=90.00 gamma=90.00
Space group Cmcm (No. 63)
One atom of each set of equivalent atoms:
Pm 0.000 0.100 0.250 [4 per cell]
Mn 0.000 0.172 0.750 [4 per cell]
Ag 0.000 0.380 0.058 [8 per cell]
Se 0.000 0.000 0.000 [4 per cell]
Se 0.000 0.300 0.623 [8 per cell]
Se 0.000 0.438 0.250 [4 per cell]

---

No. 19
DFT (PBE-GGA) results for crystalline Sc4Hg2Pd at its relaxed geometry.

Summary:
- density of states at the Fermi level (states/eV per cell) = 24.27
- formation energy (meV per atom) = -374

Unit cell a=4.8184 b=4.8184 c=23.5878 alpha=90.00 beta=90.00 gamma=120.00
Space group R-3m (No. 166, hexagonal axes)
One atom of each set of equivalent atoms:
Sc 0.0000 0.0000 0.1236 [6 per cell]
Sc 0.0000 0.0000 0.3743 [6 per cell]
Hg 0.0000 0.0000 0.2464 [6 per cell]
Pd 0.0000 0.0000 0.0000 [3 per cell]

---

No. 20
DFT (PBE-GGA) results for crystalline Na3SmZr2Te6 at its relaxed geometry.

Summary:
- density of states at the Fermi level (states/eV per cell) = 11.08
- E_form (uncorrected) (meV per atom) = -1027

Unit cell a=7.311 b=12.689 c=8.132 alpha=90.00 beta=107.59 gamma=90.00
Space group C2/m (No. 12)
One atom of each set of equivalent atoms:
Na 0.000 0.000 0.000 [2 per cell]
Na 0.000 0.341 0.000 [4 per cell]
Sm 0.000 0.500 0.500 [2 per cell]
Zr 0.000 0.169 0.500 [4 per cell]
Te 0.225 0.000 0.728 [4 per cell]
Te 0.247 0.175 0.269 [8 per cell]

---

No. 21
DFT (PBE-GGA) results for crystalline MgCuAu2 at its relaxed geometry.

Summary:
- density of states at the Fermi level (states/eV per cell) = 1.57
- formation energy (meV per atom) = -145

Unit cell a=7.919 b=2.867 c=7.160 alpha=90.00 beta=119.19 gamma=90.00
Space group Cm (No. 8)
One atom of each set of equivalent atoms:
Mg 0.000 0.000 0.000 [2 per cell]
Cu 0.275 0.500 0.494 [2 per cell]
Au 0.097 0.500 0.736 [2 per cell]
Au 0.399 0.000 0.259 [2 per cell]

---

No. 22
DFT (PBE-GGA) results for crystalline CsNaZr2Re at its relaxed geometry.

Summary:
- density of states at the Fermi level (states/eV per cell) = 3.90
- formation energy (meV per atom) = 783

Unit cell a=5.090 b=5.090 c=6.435 alpha=90.00 beta=90.00 gamma=90.00
Space group P4/mmm (No. 123)
One atom of each set of equivalent atoms:
Cs 0.000 0.000 0.000 [1 per cell]
Na 0.500 0.500 0.000 [1 per cell]
Zr 0.000 0.500 0.500 [2 per cell]
Re 0.500 0.500 0.500 [1 per cell]

---

No. 23
DFT (PBE-GGA) results for crystalline RbHoTl4 at its relaxed geometry.

Summary:
- density of states at the Fermi level (states/eV per cell) = 8.57
- formation energy (meV per atom) = -111

Unit cell a=5.463 b=5.462 c=13.059 alpha=90.00 beta=90.12 gamma=90.00
Space group C2/m (No. 12)
One atom of each set of equivalent atoms:
Rb 0.000 0.000 0.000 [2 per cell]
Ho 0.000 0.500 0.500 [2 per cell]
Tl 0.001 0.000 0.355 [4 per cell]
Tl 0.001 0.500 0.211 [4 per cell]

---

No. 24
DFT (PBE-GGA) results for crystalline MgTePd2N at its relaxed geometry.

Summary:
- density of states at the Fermi level (states/eV per cell) = 2.20
- E_form (uncorrected) (meV per atom) = 1160
- distance to the lowest polymorph of the same formula (meV per atom) = 1251.4

Unit cell a=5.030 b=5.030 c=5.360 alpha=90.00 beta=90.00 gamma=90.00
Space group P4/mmm (No. 123)
One atom of each set of equivalent atoms:
Mg 0.000 0.000 0.000 [1 per cell]
Te 0.000 0.000 0.500 [1 per cell]
Pd 0.000 0.500 0.500 [2 per cell]
N 0.500 0.500 0.000 [1 per cell]

---

No. 25
DFT (PBE-GGA) results for crystalline MnV3Br at its relaxed geometry.

Summary:
- density of states at the Fermi level (states/eV per cell) = 6.43
- E_form (uncorrected) (meV per atom) = 963
- distance to the lowest polymorph of the same formula (meV per atom) = 0.0

Unit cell a=4.431 b=4.431 c=4.431 alpha=90.00 beta=90.00 gamma=90.00
Space group Pm-3m (No. 221)
One atom of each set of equivalent atoms:
Mn 0.000 0.000 0.000 [1 per cell]
V 0.000 0.000 0.500 [3 per cell]
Br 0.500 0.500 0.500 [1 per cell]

---

No. 26
DFT (PBE-GGA) results for crystalline ZrTi3Co4 at its relaxed geometry.

Summary:
- density of states at the Fermi level (states/eV per cell) = 7.65
- formation energy (meV per atom) = -337

Unit cell a=4.235 b=4.235 c=6.236 alpha=90.00 beta=90.00 gamma=90.00
Space group P4/mmm (No. 123)
One atom of each set of equivalent atoms:
Zr 0.000 0.000 0.000 [1 per cell]
Ti 0.000 0.000 0.500 [1 per cell]
Ti 0.500 0.500 0.000 [1 per cell]
Ti 0.500 0.500 0.500 [1 per cell]
Co 0.000 0.500 0.269 [4 per cell]